DFT (PBE-GGA) results for a relaxed structure of U2PdSe4. Values from VASP.

Cell and atoms, written as Quantum ESPRESSO input:
```
&SYSTEM
  ibrav = 0, nat = 14, ntyp = 3
/
ATOMIC_SPECIES
U 238.03 U.upf
Pd 106.42 Pd.upf
Se 78.96 Se.upf
CELL_PARAMETERS angstrom
4.403 0.000 0.000
0.000 7.271 0.000
0.000 0.000 10.317
ATOMIC_POSITIONS angstrom
U 2.202 6.657 8.110
U 2.202 0.614 2.207
U 2.202 3.021 7.365
U 2.202 4.250 2.952
Pd 0.000 0.000 5.158
Pd 0.000 3.636 0.000
Se 0.000 4.705 8.036
Se 0.000 2.566 2.281
Se 0.000 1.069 7.439
Se 0.000 6.202 2.878
Se 2.202 5.425 5.562
Se 2.202 1.846 4.755
Se 2.202 5.482 0.404
Se 2.202 1.789 9.913
```

Values from the calculation:
* total energy: -6.8050 eV/atom
* formation energy without anion corrections: -19.53 kcal/mol of atoms